# 1
La2MnCu3Pt12: relaxed, PBE-GGA.

Results
Final energy, eV per atom: -5.968
Formation energy, meV/atom: -201

Unit cell a=9.4440 b=9.4440 c=9.4440 alpha=42.14 beta=42.14 gamma=42.14
Fractional positions:
1 Pt 0.6469 0.0740 0.0740
2 Pt 0.0740 0.0740 0.6469
3 Pt 0.9260 0.9260 0.3531
4 Pt 0.3531 0.9260 0.9260
5 Pt 0.5841 0.1861 0.5841
6 Pt 0.1861 0.5841 0.5841
7 Pt 0.0740 0.6469 0.0740
8 Pt 0.4159 0.8139 0.4159
9 Pt 0.5841 0.5841 0.1861
10 Pt 0.9260 0.3531 0.9260
11 Pt 0.4159 0.4159 0.8139
12 Pt 0.8139 0.4159 0.4159
13 La 0.6580 0.6580 0.6580
14 La 0.3420 0.3420 0.3420
15 Cu 0.0000 0.0000 0.5000
16 Cu 0.0000 0.5000 0.0000
17 Cu 0.5000 0.0000 0.0000
18 Mn 0.0000 0.0000 0.0000


# 2
La2MnCuS5: relaxed, PBE-GGA.

Results
Final energy, eV per atom: -6.253
Energy relative to the elements, uncorrected, meV per atom: -1391

Unit cell a=3.9287 b=8.5317 c=11.4330 alpha=90.00 beta=90.00 gamma=103.31
Fractional positions:
1 S 0.7119 0.4239 0.1586
2 S 0.3482 0.6964 0.0058
3 S 0.5013 0.0026 0.2767
4 S 0.0620 0.1239 0.0516
5 S 0.9380 0.8761 0.5516
6 S 0.4987 0.9974 0.7767
7 S 0.2881 0.5761 0.6586
8 S 0.6518 0.3036 0.5058
9 S 0.3035 0.6070 0.3594
10 S 0.6965 0.3930 0.8594
11 Cu 0.4325 0.8651 0.4497
12 Cu 0.5675 0.1349 0.9497
13 La 0.8714 0.7428 0.8073
14 La 0.8838 0.7675 0.1982
15 La 0.1162 0.2325 0.6982
16 La 0.1286 0.2572 0.3073
17 Mn 0.7998 0.5997 0.5166
18 Mn 0.2002 0.4003 0.0166


# 3
La2MnCuSi: relaxed, PBE-GGA.

Results
Final energy, eV per atom: -5.750
Energy relative to the elements, uncorrected, meV per atom: -42

Unit cell a=5.2024 b=4.4428 c=5.2024 alpha=90.00 beta=90.00 gamma=90.00
Fractional positions:
1 La 0.0000 0.0000 0.5000
2 La 0.5000 0.0000 0.0000
3 Mn 0.0000 0.0000 0.0000
4 Si 0.0000 0.5000 0.0000
5 Cu 0.5000 0.5000 0.5000